Record 1
Here is a geometry-optimized Ti5Mn4In structure from Alexandria via LeMat-Bulk. Energies are from PBE-GGA.

a b c (Å): 3.0308 3.0308 15.7727
angles (deg): 90.00 90.00 90.00
Site moments in Bohr magnetons follow the coordinates.
Positions (direct):
Ti: 0.5000 0.5000 0.1324  -0.06
Ti: 0.5000 0.5000 0.5000  -0.36
Ti: 0.5000 0.5000 0.8676  -0.06
Ti: 0.5000 0.5000 0.6872  -0.23
Ti: 0.5000 0.5000 0.3128  -0.23
Mn: 0.0000 0.0000 0.7856  0.19
Mn: 0.0000 0.0000 0.5936  1.01
Mn: 0.0000 0.0000 0.4064  1.01
Mn: 0.0000 0.0000 0.2144  0.19
In: 0.0000 0.0000 0.0000  0.00

Results
The density of states at the Fermi level comes out at 7.2 states/eV/f.u. As for the total magnetization: 1.4 μB/f.u. As for the symmetry: P4/mmm. As for the crystal system: tetragonal. For the formation enthalpy at 0 K, the calculation gives -0.24 eV per atom.

---

Record 2
Here is a geometry-optimized SbTeI2N structure from Alexandria via LeMat-Bulk. Energies are from PBE-GGA.

a b c (Å): 6.1002 6.1002 5.7413
angles (deg): 90.00 90.00 90.00
Site moments in Bohr magnetons follow the coordinates.
Positions (direct):
Sb: 0.0000 0.0000 0.0000  -0.01
N: 0.5000 0.5000 0.5000  1.92
I: 0.0000 0.5000 0.0000  0.05
I: 0.5000 0.0000 0.0000  0.05
Te: 0.0000 0.0000 0.5000  0.18

Results
The density of states at the Fermi level comes out at 5.6 states/eV/f.u. For the uncorrected formation energy, the calculation gives 1.13 eV per atom. For the polymorph energy (0 for the lowest one), the calculation gives 0.355 eV/atom. As for the total magnetization: 3.4 μB/f.u. As for the symmetry: P4/mmm. As for the crystal system: tetragonal.

---

Record 3
Here is a geometry-optimized IrRuO5 structure from Alexandria via LeMat-Bulk. Energies are from PBE-GGA.

a b c (Å): 5.7608 5.7608 6.6486
angles (deg): 94.60 94.60 122.28
Positions (direct):
O: 0.4063 0.2617 0.0020
O: 0.0701 0.3600 0.1300
O: 0.5937 0.7383 0.9980
O: 0.6400 0.9299 0.3700
O: 0.9299 0.6400 0.8700
O: 0.3600 0.0701 0.6300
O: 0.7383 0.5937 0.4980
O: 0.0852 0.9148 0.2500
O: 0.2617 0.4063 0.5020
O: 0.9148 0.0852 0.7500
Ir: 0.4433 0.5567 0.2500
Ir: 0.5567 0.4433 0.7500
Ru: 0.0000 0.0000 0.5000
Ru: 0.0000 0.0000 0.0000

Results
The density of states at the Fermi level comes out at 4.7 states/eV/f.u. For the uncorrected formation energy, the calculation gives -0.46 eV per atom. As for the total magnetization: 0.0 μB/f.u. As for the symmetry: C2/c. As for the crystal system: monoclinic.

---

Record 4
Here is a geometry-optimized Sm4Ge2SBr structure from Alexandria via LeMat-Bulk. Energies are from PBE-GGA.

a b c (Å): 4.2190 7.2466 7.3215
angles (deg): 70.47 90.00 90.00
Positions (direct):
Sm: 0.5000 0.7605 0.2564
Sm: 0.0000 0.2311 0.2670
Sm: 0.5000 0.2395 0.7436
Sm: 0.0000 0.7689 0.7330
Br: 0.5000 0.5000 0.0000
Ge: 0.5000 0.0000 0.5000
Ge: 0.0000 0.0000 0.0000
S: 0.0000 0.5000 0.5000

Results
The density of states at the Fermi level comes out at 1.7 states/eV/f.u. For the uncorrected formation energy, the calculation gives -1.30 eV per atom. As for the total magnetization: 0.0 μB/f.u. As for the symmetry: P2/m. As for the crystal system: monoclinic.

---

Record 5
Here is a geometry-optimized ReSb2TeIr structure from Alexandria via LeMat-Bulk. Energies are from PBE-GGA.

a b c (Å): 5.0785 5.0785 5.0967
angles (deg): 90.00 90.00 90.00
Positions (direct):
Sb: 0.0000 0.5000 0.0000
Sb: 0.5000 0.0000 0.0000
Ir: 0.5000 0.5000 0.5000
Re: 0.0000 0.0000 0.0000
Te: 0.0000 0.0000 0.5000

Results
The density of states at the Fermi level comes out at 3.2 states/eV/f.u. For the uncorrected formation energy, the calculation gives 1.28 eV per atom. For the polymorph energy (0 for the lowest one), the calculation gives 0.159 eV/atom. As for the total magnetization: 0.0 μB/f.u. As for the symmetry: P4/mmm. As for the crystal system: tetragonal.

---

Record 6
Here is a geometry-optimized SrSF2 structure from Alexandria via LeMat-Bulk. Energies are from PBE-GGA.

a b c (Å): 7.6736 7.6736 7.6736
angles (deg): 29.07 29.07 29.07
Site moments in Bohr magnetons follow the coordinates.
Positions (direct):
Sr: 0.0000 0.0000 0.0000  0.00
S: 0.5000 0.5000 0.5000  1.18
F: 0.7113 0.7113 0.7113  0.02
F: 0.2887 0.2887 0.2887  0.02

Results
The density of states at the Fermi level comes out at 1.4 states/eV/f.u. For the uncorrected formation energy, the calculation gives -2.15 eV per atom. For the polymorph energy (0 for the lowest one), the calculation gives 0.023 eV/atom. As for the total magnetization: 2.0 μB/f.u. As for the symmetry: R-3m. As for the crystal system: trigonal.